Below is an optimized crystal structure of CaNd8Tm2, with properties calculated at the GGA-PBE level.

Its density of states at the Fermi level is 37.17 states/eV per cell. As for the crystal system: orthorhombic. The calculation puts the formation energy at 0.1430 eV/atom.

Cell lengths 5.688, 8.543, 16.036 Å; angles 90.00, 90.00, 90.00 degrees
Space group Immm (No. 71)
Inequivalent atoms, fractional coordinates:
1 Ca 0.000 0.000 0.000 (multiplicity 2)
2 Nd 0.000 0.191 0.500 (multiplicity 4)
3 Nd 0.000 0.300 0.143 (multiplicity 8)
4 Nd 0.000 0.500 0.338 (multiplicity 4)
5 Tm 0.000 0.000 0.297 (multiplicity 4)

---

Below is an optimized crystal structure of Al2CrAg, with properties calculated at the GGA-PBE level.

Its density of states at the Fermi level is 9.03 states/eV per cell. Its polymorph energy (0 for the lowest one) is 105 meV/atom. As for the crystal system: trigonal. The calculation puts the formation energy at 0.0456 eV/atom.

Cell lengths 2.8304, 2.8304, 26.2562 Å; angles 90.00, 90.00, 120.00 degrees
Space group R-3m (No. 166, hexagonal axes)
Inequivalent atoms, fractional coordinates:
1 Al 0.0000 0.0000 0.2432 (multiplicity 6)
2 Cr 0.0000 0.0000 0.5000 (multiplicity 3)
3 Ag 0.0000 0.0000 0.0000 (multiplicity 3)

---

Below is an optimized crystal structure of Pm2NdAg5, with properties calculated at the GGA-PBE level.

Its density of states at the Fermi level is 11.52 states/eV per cell. As for the crystal system: tetragonal. The calculation puts the formation energy at -0.2055 eV/atom.

Cell lengths 5.175, 5.175, 14.511 Å; angles 90.00, 90.00, 90.00 degrees
Space group I4/mmm (No. 139)
Inequivalent atoms, fractional coordinates:
1 Pm 0.000 0.000 0.231 (multiplicity 4)
2 Nd 0.000 0.000 0.500 (multiplicity 2)
3 Ag 0.000 0.000 0.000 (multiplicity 2)
4 Ag 0.000 0.500 0.119 (multiplicity 8)

---

Below is an optimized crystal structure of Ce3GeCl2, with properties calculated at the GGA-PBE level.

Its density of states at the Fermi level is 31.39 states/eV per cell. The energy relative to the elements, uncorrected is -121.8 kJ per mole of atoms. Its polymorph energy (0 for the lowest one) is 0 meV/atom. As for the crystal system: orthorhombic.

Cell lengths 4.235, 5.809, 11.992 Å; angles 90.00, 90.00, 90.00 degrees
Space group Immm (No. 71)
Inequivalent atoms, fractional coordinates:
1 Ce 0.000 0.000 0.000 (multiplicity 2)
2 Ce 0.000 0.000 0.330 (multiplicity 4)
3 Ge 0.000 0.500 0.000 (multiplicity 2)
4 Cl 0.000 0.500 0.338 (multiplicity 4)

---

Below is an optimized crystal structure of Ta4Mo2Ru, with properties calculated at the GGA-PBE level.

Its density of states at the Fermi level is 8.59 states/eV per cell. As for the crystal system: tetragonal. The calculation puts the formation energy at 0.0447 eV/atom.

Cell lengths 6.309, 6.309, 6.399 Å; angles 90.00, 90.00, 90.00 degrees
Space group I4/mmm (No. 139)
Inequivalent atoms, fractional coordinates:
1 Ta 0.250 0.250 0.250 (multiplicity 8)
2 Mo 0.000 0.500 0.000 (multiplicity 4)
3 Ru 0.000 0.000 0.000 (multiplicity 2)

---

Below is an optimized crystal structure of Nd2Si4Tc3, with properties calculated at the GGA-PBE level.

Its density of states at the Fermi level is 26.87 states/eV per cell. The energy relative to the elements, uncorrected is -46.2 kJ per mole of atoms. As for the crystal system: orthorhombic.

Cell lengths 5.572, 15.142, 7.498 Å; angles 90.00, 90.00, 90.00 degrees
Space group Cmce (No. 64)
Inequivalent atoms, fractional coordinates:
1 Nd 0.000 0.107 0.096 (multiplicity 8)
2 Si 0.000 0.181 0.481 (multiplicity 8)
3 Si 0.250 0.060 0.750 (multiplicity 8)
4 Tc 0.000 0.000 0.500 (multiplicity 4)
5 Tc 0.250 0.225 0.750 (multiplicity 8)

---

Below is an optimized crystal structure of SmDyZn2, with properties calculated at the GGA-PBE level.

Its density of states at the Fermi level is 4.13 states/eV per cell. Its polymorph energy (0 for the lowest one) is 1 meV/atom. As for the crystal system: tetragonal. The calculation puts the formation energy at -0.3275 eV/atom.

Cell lengths 5.079, 5.079, 3.626 Å; angles 90.00, 90.00, 90.00 degrees
Space group P4/mmm (No. 123)
Inequivalent atoms, fractional coordinates:
1 Sm 0.000 0.000 0.000 (multiplicity 1)
2 Dy 0.500 0.500 0.000 (multiplicity 1)
3 Zn 0.000 0.500 0.500 (multiplicity 2)

---

Below is an optimized crystal structure of HoTmRu, with properties calculated at the GGA-PBE level.

Its density of states at the Fermi level is 6.92 states/eV per cell. Its polymorph energy (0 for the lowest one) is 0 meV/atom. As for the crystal system: orthorhombic. The calculation puts the formation energy at -0.3882 eV/atom.

Cell lengths 6.734, 3.379, 12.812 Å; angles 90.00, 90.00, 90.00 degrees
Space group Pnma (No. 62)
Inequivalent atoms, fractional coordinates:
1 Ho 0.126 0.250 0.122 (multiplicity 4)
2 Tm 0.125 0.250 0.377 (multiplicity 4)
3 Ru 0.125 0.250 0.750 (multiplicity 4)

---

Below is an optimized crystal structure of MnAl3, with properties calculated at the GGA-PBE level.

Its density of states at the Fermi level is 4.01 states/eV per cell. As for the crystal system: cubic. The calculation puts the formation energy at -0.1157 eV/atom.

Cell lengths 4.898, 4.898, 4.898 Å; angles 90.00, 90.00, 90.00 degrees
Space group Pm-3n (No. 223)
Inequivalent atoms, fractional coordinates:
1 Mn 0.000 0.000 0.000 (multiplicity 2)
2 Al 0.000 0.250 0.500 (multiplicity 6)

---

Below is an optimized crystal structure of DyNpU2P4, with properties calculated at the GGA-PBE level.

Its density of states at the Fermi level is 18.35 states/eV per cell. As for the crystal system: monoclinic. The calculation puts the formation energy at -1.0879 eV/atom.

Cell lengths 6.837, 3.942, 6.857 Å; angles 90.00, 109.37, 90.00 degrees
Space group P2/m (No. 10)
Inequivalent atoms, fractional coordinates:
1 Dy 0.000 0.000 0.000 (multiplicity 1)
2 Np 0.500 0.500 0.000 (multiplicity 1)
3 U 0.000 0.500 0.500 (multiplicity 1)
4 U 0.500 0.000 0.500 (multiplicity 1)
5 P 0.251 0.000 0.747 (multiplicity 2)
6 P 0.253 0.500 0.255 (multiplicity 2)

---

Below is an optimized crystal structure of PuSnIrRu, with properties calculated at the GGA-PBE level.

Its density of states at the Fermi level is 26.25 states/eV per cell. As for the crystal system: cubic. The calculation puts the formation energy at -0.2591 eV/atom.

Cell lengths 6.663, 6.663, 6.663 Å; angles 90.00, 90.00, 90.00 degrees
Space group F-43m (No. 216)
Inequivalent atoms, fractional coordinates:
1 Pu 0.000 0.000 0.000 (multiplicity 4)
2 Sn 0.000 0.000 0.500 (multiplicity 4)
3 Ir 0.250 0.250 0.250 (multiplicity 4)
4 Ru 0.250 0.250 0.750 (multiplicity 4)

---

Below is an optimized crystal structure of LiGa2Br3, with properties calculated at the GGA-PBE level.

Its density of states at the Fermi level is 0.00 states/eV per cell. The energy relative to the elements, uncorrected is -81.8 kJ per mole of atoms. As for the crystal system: orthorhombic.

Cell lengths 8.991, 4.355, 18.082 Å; angles 90.00, 90.00, 90.00 degrees
Space group Pnma (No. 62)
Inequivalent atoms, fractional coordinates:
1 Li 0.121 0.250 0.131 (multiplicity 4)
2 Ga 0.078 0.250 0.733 (multiplicity 4)
3 Ga 0.213 0.250 0.461 (multiplicity 4)
4 Br 0.016 0.250 0.896 (multiplicity 4)
5 Br 0.129 0.750 0.566 (multiplicity 4)
6 Br 0.172 0.250 0.268 (multiplicity 4)

---

| no. | E (eV per atom) | spin magnetization (μB/cell) |
| --- | --- | --- |
| 1 | -4.319 | 0.00 |
| 2 | -4.944 | 2.92 |
| 3 | -3.771 | 0.00 |
| 4 | -5.614 | 4.35 |
| 5 | -11.148 | 0.00 |
| 6 | -7.404 | 0.00 |
| 7 | -3.295 | 0.00 |
| 8 | -6.497 | 0.00 |
| 9 | -5.215 | 3.93 |
| 10 | -8.808 | 4.18 |
| 11 | -9.377 | 18.08 |
| 12 | -3.012 | 0.00 |